[1]
# AcEuSi, relaxed, DFT PBE
data_AcEuSi
_chemical_formula_sum 'Ac4 Eu4 Si4'
_symmetry_space_group_name_H-M 'F -4 3 m'
_symmetry_Int_Tables_number 216
_symmetry_space_group_name_Hall 'F -4 2 3'
_cell_length_a 7.436
_cell_length_b 7.436
_cell_length_c 7.436
_cell_angle_alpha 90.00
_cell_angle_beta 90.00
_cell_angle_gamma 90.00
loop_
_atom_site_label
_atom_site_type_symbol
_atom_site_fract_x
_atom_site_fract_y
_atom_site_fract_z
Ac1 Ac 0.000 0.000 0.000
Eu1 Eu 0.000 0.000 0.500
Si1 Si 0.250 0.250 0.250
# - relative energy among the computed polymorphs (eV per atom) = 0.000
# - uncorrected formation energy (eV/atom) = -0.357
# - ρ (g/cm³) = 6.6
# - DOS(E_F) (states/eV/atom) = 2.949

[2]
# TiZnPtBr2, relaxed, DFT PBE
data_TiZnPtBr2
_chemical_formula_sum 'Ti1 Zn1 Pt1 Br2'
_symmetry_space_group_name_H-M 'P 4/m m m'
_symmetry_Int_Tables_number 123
_symmetry_space_group_name_Hall '-P 4 2'
_cell_length_a 4.930
_cell_length_b 4.930
_cell_length_c 5.000
_cell_angle_alpha 90.00
_cell_angle_beta 90.00
_cell_angle_gamma 90.00
loop_
_atom_site_label
_atom_site_type_symbol
_atom_site_fract_x
_atom_site_fract_y
_atom_site_fract_z
Ti1 Ti 0.000 0.000 0.000
Zn1 Zn 0.500 0.500 0.500
Pt1 Pt 0.500 0.500 0.000
Br1 Br 0.000 0.500 0.500
# - uncorrected formation energy (eV/atom) = 0.447
# - ρ (g/cm³) = 6.4
# - DOS(E_F) (states/eV/atom) = 1.348

[3]
# PuPaAs2, relaxed, DFT PBE
data_PuPaAs2
_chemical_formula_sum 'Pu1 Pa1 As2'
_symmetry_space_group_name_H-M 'P 4/m m m'
_symmetry_Int_Tables_number 123
_symmetry_space_group_name_Hall '-P 4 2'
_cell_length_a 3.529
_cell_length_b 3.529
_cell_length_c 7.084
_cell_angle_alpha 90.00
_cell_angle_beta 90.00
_cell_angle_gamma 90.00
loop_
_atom_site_label
_atom_site_type_symbol
_atom_site_fract_x
_atom_site_fract_y
_atom_site_fract_z
Pu1 Pu 0.000 0.000 0.000
Pa1 Pa 0.000 0.000 0.500
As1 As 0.500 0.500 0.256
# - relative energy among the computed polymorphs (eV per atom) = 0.198
# - energy of formation (meV/atom) = -858
# - ρ (g/cm³) = 11.8
# - DOS(E_F) (states/eV/atom) = 2.527

[4]
# Er2TmTi, relaxed, DFT PBE
data_Er2TmTi
_chemical_formula_sum 'Er2 Tm1 Ti1'
_symmetry_space_group_name_H-M 'P 4/m m m'
_symmetry_Int_Tables_number 123
_symmetry_space_group_name_Hall '-P 4 2'
_cell_length_a 4.749
_cell_length_b 4.749
_cell_length_c 4.736
_cell_angle_alpha 90.00
_cell_angle_beta 90.00
_cell_angle_gamma 90.00
loop_
_atom_site_label
_atom_site_type_symbol
_atom_site_fract_x
_atom_site_fract_y
_atom_site_fract_z
Er1 Er 0.000 0.500 0.000
Tm1 Tm 0.000 0.000 0.500
Ti1 Ti 0.500 0.500 0.500
# - relative energy among the computed polymorphs (eV per atom) = 0.034
# - energy of formation (meV/atom) = 190
# - ρ (g/cm³) = 8.6
# - DOS(E_F) (states/eV/atom) = 1.580